First-principles (GGA-PBE) data for a geometry-optimized MgCr2As structure, as listed in Alexandria.

Summary:
ρ ... 5.6 g cm⁻³
E above lowest polymorph ... 0.133 eV per atom
Space-group type ... P4/mmm
Calculated formation energy ... 0.248 eV/atom
Energy ... -6.13 eV per atom
DOS at the Fermi energy ... 0.823 states/eV per atom

Cell lengths 3.164, 3.164, 5.993 Å; angles 90.00, 90.00, 90.00 degrees
Fractional coordinates of all 4 atoms:
Mg 0.000 0.000 0.000
Cr 0.500 0.500 0.279
Cr 0.500 0.500 0.721
As 0.000 0.000 0.500

=====

First-principles (GGA-PBE) data for a geometry-optimized MgCrAs2 structure, as listed in Alexandria.

Summary:
ρ ... 5.0 g cm⁻³
Space-group type ... Cmm2
Calculated formation energy ... 0.220 eV/atom
Energy ... -4.91 eV per atom
DOS at the Fermi energy ... 0.733 states/eV per atom

Cell lengths 2.789, 2.789, 9.911 Å; angles 90.00, 90.00, 104.54 degrees
Fractional coordinates of all 4 atoms:
Mg 0.000 0.000 0.000
Cr 0.500 0.500 0.219
As 0.000 0.000 0.396
As 0.500 0.500 0.772

=====

First-principles (GGA-PBE) data for a geometry-optimized MgCr2As structure, as listed in Alexandria.

Summary:
ρ ... 5.5 g cm⁻³
E above lowest polymorph ... 0.074 eV per atom
Space-group type ... F-43m
Calculated formation energy ... 0.188 eV/atom
Energy ... -6.18 eV per atom
DOS at the Fermi energy ... 0.336 states/eV per atom

Cell lengths 4.440, 4.440, 4.440 Å; angles 60.00, 60.00, 60.00 degrees
Fractional coordinates of all 4 atoms:
Mg 0.000 0.000 0.000
Cr 0.250 0.250 0.250
Cr 0.500 0.500 0.500
As 0.750 0.750 0.750

=====

First-principles (GGA-PBE) data for a geometry-optimized Mg2CrAs structure, as listed in Alexandria.

Summary:
ρ ... 3.8 g cm⁻³
Space-group type ... P4/mmm
Calculated formation energy ... 0.166 eV/atom
Energy ... -4.20 eV per atom
DOS at the Fermi energy ... 0.302 states/eV per atom

Cell lengths 3.075, 3.075, 8.164 Å; angles 90.00, 90.00, 90.00 degrees
Fractional coordinates of all 4 atoms:
Mg 0.000 0.000 0.249
Mg 0.000 0.000 0.751
Cr 0.500 0.500 0.000
As 0.500 0.500 0.500

=====

Q: Number 4 is which compound?
A: Mg2CrAs